i.
A plane-wave DFT calculation with PBE was carried out for a relaxed structure of Rb2SnTe2.

The structure in POSCAR format:
```
Rb2SnTe2
1.0
-4.107 7.472 3.860
4.107 -7.472 3.860
4.107 7.472 -3.860
Rb Sn Te
4 2 4
Direct
0.142 0.168 0.311
0.358 0.668 0.026
0.642 0.332 0.974
0.858 0.832 0.689
0.250 0.750 0.500
0.750 0.250 0.500
0.112 0.718 0.830
0.388 0.218 0.606
0.612 0.782 0.394
0.888 0.282 0.170
```

## Properties
The space group is Ibam (72). The calculation puts the density at 3.82 g/cm3.



ii.
A plane-wave DFT calculation with PBE was carried out for a relaxed structure of Rb2SnTe2.

The structure in POSCAR format:
```
Rb2SnTe2
1.0
8.751 0.000 0.000
0.000 8.751 0.000
0.000 0.000 5.319
Rb Sn Te
4 2 4
Direct
0.139 0.361 0.000
0.361 0.861 0.000
0.639 0.139 0.000
0.861 0.639 0.000
0.000 0.000 0.500
0.500 0.500 0.500
0.175 0.675 0.500
0.325 0.175 0.500
0.675 0.825 0.500
0.825 0.325 0.500
```

## Properties
The space group is P4/mbm (127). The calculation puts the density at 4.44 g/cm3.



iii.
A plane-wave DFT calculation with PBE was carried out for a relaxed structure of Rb2SnTe2.

The structure in POSCAR format:
```
Rb2SnTe2
1.0
2.367 -11.924 0.000
2.367 11.924 0.000
0.000 0.000 7.857
Rb Sn Te
4 2 4
Direct
0.031 0.969 0.500
0.196 0.804 0.240
0.804 0.196 0.740
0.969 0.031 0.000
0.396 0.604 0.319
0.604 0.396 0.819
0.180 0.820 0.761
0.420 0.580 0.673
0.580 0.420 0.173
0.820 0.180 0.261
```

## Properties
The space group is Cmc2_1 (36). The calculation puts the density at 4.08 g/cm3.



Which of them is most stable? Easy: iii.



i.
A plane-wave DFT calculation with PBE was carried out for a relaxed structure of Rb2SnTe5.

The structure in POSCAR format:
```
Rb2SnTe5
1.0
-4.458 4.458 7.846
4.458 -4.458 7.846
4.458 4.458 -7.846
Rb Sn Te
4 2 10
Direct
0.000 0.000 0.000
0.250 0.250 0.000
0.500 0.500 0.000
0.750 0.750 0.000
0.250 0.750 0.500
0.750 0.250 0.500
0.000 0.500 0.500
0.037 0.537 0.847
0.190 0.037 0.500
0.310 0.810 0.847
0.463 0.310 0.500
0.500 0.000 0.500
0.537 0.690 0.500
0.690 0.190 0.153
0.810 0.963 0.500
0.963 0.463 0.153
```

## Properties
The space group is I4/mcm (140). The calculation puts the density at 4.94 g/cm3.



ii.
A plane-wave DFT calculation with PBE was carried out for a relaxed structure of Rb2SnTe5.

The structure in POSCAR format:
```
Rb2SnTe5
1.0
-3.452 3.452 8.109
3.452 -3.452 8.109
3.452 3.452 -8.109
Rb Sn Te
2 1 5
Direct
0.000 0.500 0.500
0.500 0.000 0.500
0.235 0.235 0.000
0.046 0.046 0.457
0.046 0.588 0.000
0.066 0.066 0.000
0.588 0.046 0.000
0.588 0.588 0.543
```

## Properties
The space group is I4mm (107). The calculation puts the density at 3.98 g/cm3.



Which of them is most stable? Easy: i.



i.
A plane-wave DFT calculation with PBE was carried out for a relaxed structure of RbSn2Te4.

The structure in POSCAR format:
```
RbSn2Te4
1.0
2.156 -7.260 0.000
2.156 7.260 0.000
0.000 0.000 16.164
Rb Sn Te
2 4 8
Direct
0.092 0.908 0.750
0.908 0.092 0.250
0.360 0.640 0.563
0.360 0.640 0.937
0.640 0.360 0.063
0.640 0.360 0.437
0.000 0.000 0.000
0.000 0.000 0.500
0.279 0.721 0.104
0.279 0.721 0.396
0.386 0.614 0.750
0.614 0.386 0.250
0.721 0.279 0.604
0.721 0.279 0.896
```

## Properties
The space group is Cmcm (63). The calculation puts the density at 5.47 g/cm3.



ii.
A plane-wave DFT calculation with PBE was carried out for a relaxed structure of RbSn2Te4.

The structure in POSCAR format:
```
RbSn2Te4
1.0
7.876 0.000 0.000
-2.353 8.369 0.000
-2.754 -4.172 8.181
Rb Sn Te
2 4 8
Direct
0.000 0.000 0.000
0.227 0.727 0.455
0.258 0.260 0.806
0.679 0.181 0.648
0.700 0.343 0.214
0.713 0.856 0.240
0.033 0.466 0.704
0.113 0.283 0.437
0.400 0.494 0.163
0.465 0.059 0.292
0.511 0.045 0.884
0.557 0.489 0.751
0.853 0.889 0.571
0.903 0.573 0.017
```

## Properties
The space group is P1 (1). The calculation puts the density at 5.13 g/cm3.



Which of them is most stable? Easy: ii.



i.
A plane-wave DFT calculation with PBE was carried out for a relaxed structure of RbSn4Te5.

The structure in POSCAR format:
```
RbSn4Te5
1.0
8.617 0.000 0.000
0.000 10.720 0.000
0.000 0.000 8.863
Rb Sn Te
2 8 10
Direct
0.250 0.250 0.084
0.750 0.750 0.916
0.056 0.250 0.584
0.250 0.598 0.871
0.250 0.902 0.871
0.444 0.250 0.584
0.556 0.750 0.416
0.750 0.098 0.129
0.750 0.402 0.129
0.944 0.750 0.416
0.018 0.555 0.203
0.018 0.945 0.203
0.250 0.750 0.569
0.482 0.555 0.203
0.482 0.945 0.203
0.518 0.055 0.797
0.518 0.445 0.797
0.750 0.250 0.431
0.982 0.055 0.797
0.982 0.445 0.797
```

## Properties
The space group is Pmmn (59). The calculation puts the density at 4.86 g/cm3.



ii.
A plane-wave DFT calculation with PBE was carried out for a relaxed structure of RbSn4Te5.

The structure in POSCAR format:
```
RbSn4Te5
1.0
7.442 -2.287 0.000
7.442 2.287 0.000
-6.084 0.000 10.226
Rb Sn Te
1 4 5
Direct
0.000 0.000 0.000
0.202 0.202 0.792
0.401 0.401 0.597
0.599 0.599 0.403
0.798 0.798 0.208
0.000 0.000 0.500
0.200 0.200 0.326
0.387 0.387 0.126
0.613 0.613 0.874
0.800 0.800 0.674
```

## Properties
The space group is C2/m (12). The calculation puts the density at 5.72 g/cm3.



Which of them is most stable? Easy: ii.



i.
A plane-wave DFT calculation with PBE was carried out for a relaxed structure of RbSn3Te.

The structure in POSCAR format:
```
RbSn3Te
1.0
6.015 0.000 0.000
0.000 6.015 0.000
0.000 0.000 6.015
Rb Sn Te
1 3 1
Direct
0.000 0.000 0.000
0.000 0.500 0.500
0.500 0.000 0.500
0.500 0.500 0.000
0.500 0.500 0.500
```

## Properties
The space group is Pm-3m (221). The calculation puts the density at 4.34 g/cm3.



ii.
A plane-wave DFT calculation with PBE was carried out for a relaxed structure of RbSn3Te.

The structure in POSCAR format:
```
RbSn3Te
1.0
6.094 0.000 0.000
0.000 6.094 0.000
0.000 0.000 6.094
Rb Sn Te
1 3 1
Direct
0.000 0.000 0.000
0.000 0.000 0.500
0.000 0.500 0.000
0.500 0.000 0.000
0.500 0.500 0.500
```

## Properties
The space group is Pm-3m (221). The calculation puts the density at 4.18 g/cm3.



Which of them is most stable? Easy: i.



i.
A plane-wave DFT calculation with PBE was carried out for a relaxed structure of RbSnTe.

The structure in POSCAR format:
```
RbSnTe
1.0
4.943 0.000 0.000
2.021 4.512 0.000
1.677 1.073 11.949
Rb Sn Te
2 2 2
Direct
0.000 0.000 0.000
0.204 0.204 0.545
0.295 0.297 0.217
0.618 0.620 0.293
0.382 0.381 0.801
0.825 0.824 0.740
```

## Properties
The space group is P1 (1). The calculation puts the density at 4.13 g/cm3.



ii.
A plane-wave DFT calculation with PBE was carried out for a relaxed structure of RbSnTe.

The structure in POSCAR format:
```
RbSnTe
1.0
5.355 0.000 0.000
-2.677 4.637 0.000
0.000 0.000 5.006
Rb Sn Te
1 1 1
Direct
0.000 0.000 0.000
0.333 0.667 0.500
0.667 0.333 0.500
```

## Properties
The space group is P-6m2 (187). The calculation puts the density at 4.43 g/cm3.



iii.
A plane-wave DFT calculation with PBE was carried out for a relaxed structure of RbSnTe.

The structure in POSCAR format:
```
RbSnTe
1.0
7.240 -2.172 0.000
7.240 2.172 0.000
-5.535 0.000 8.034
Rb Sn Te
2 2 2
Direct
0.181 0.181 0.173
0.819 0.819 0.827
0.082 0.082 0.460
0.918 0.918 0.540
0.463 0.463 0.214
0.537 0.537 0.786
```

## Properties
The space group is C2/m (12). The calculation puts the density at 4.36 g/cm3.



Which of them is most stable? Easy: iii.